Record 1
Here is a relaxed structure of Ce4SiPt from Alexandria via LeMat-Bulk. Energies are from PBE-GGA.

It has space group Cmcm (No. 63), with a = 5.2113 Å, b = 20.3984 Å, c = 6.1056 Å, α = 90.00°, β = 90.00° and γ = 90.00°. The asymmetric unit holds Ce at (0.0000, 0.0600, 0.2500), Ce at (0.0000, 0.2157, 0.0233), Ce at (0.0000, 0.3942, 0.2500), Si at (0.0000, 0.3441, 0.7500) and Pt at (0.0000, 0.0831, 0.7500).

The calculation puts the uncorrected formation energy at -479 meV/atom. The value obtained for the uncorrected energy is -6.35 eV/atom. The size of the total moment is 12.19 μB per cell.

Record 2
Here is a relaxed structure of Ce6SiPt from Alexandria via LeMat-Bulk. Energies are from PBE-GGA.

It has space group C2/m (No. 12), with a = 7.5947 Å, b = 9.2800 Å, c = 6.3838 Å, α = 90.00°, β = 104.77° and γ = 90.00°. The asymmetric unit holds Ce at (0.1351, 0.2134, 0.3122), Ce at (0.1756, 0.5000, 0.1246), Si at (0.0000, 0.5000, 0.5000) and Pt at (0.0000, 0.0000, 0.0000).

The calculation puts the uncorrected formation energy at -242 meV/atom. The value obtained for the uncorrected energy is -6.13 eV/atom. The size of the total moment is 6.30 μB per cell.

Record 3
Here is a relaxed structure of CeSi2Pt from Alexandria via LeMat-Bulk. Energies are from PBE-GGA.

It has space group R-3m (No. 166, hexagonal axes), with a = 4.0707 Å, b = 4.0707 Å, c = 15.7160 Å, α = 90.00°, β = 90.00° and γ = 120.00°. The asymmetric unit holds Ce at (0.0000, 0.0000, 0.0000), Si at (0.0000, 0.0000, 0.2174) and Pt at (0.0000, 0.0000, 0.5000).

The calculation puts the uncorrected formation energy at -914 meV/atom. The value obtained for the uncorrected energy is -6.62 eV/atom. The size of the total moment is 0.82 μB per cell.